The following is a DFT calculation (GGA-PBE) of an optimized crystal structure of HoGaNO.

Unit cell a=6.343 b=7.191 c=4.975 alpha=90.00 beta=90.00 gamma=90.00
Element x y z (fractional)
1 Ga 0.605 0.147 0.021
2 Ga 0.105 0.853 0.021
3 Ga 0.895 0.147 0.521
4 Ga 0.395 0.853 0.521
5 Ho 0.064 0.347 0.021
6 Ho 0.564 0.653 0.021
7 Ho 0.436 0.347 0.521
8 Ho 0.936 0.653 0.521
9 N 0.416 0.368 0.008
10 N 0.916 0.632 0.008
11 N 0.084 0.368 0.508
12 N 0.584 0.632 0.508
13 O 0.926 0.056 0.153
14 O 0.426 0.944 0.153
15 O 0.574 0.056 0.653
16 O 0.074 0.944 0.653

## Properties
As for the density: 7.7 Mg/m³. The distance to the lowest polymorph of the same formula is 2.64 kcal/mol of atoms.